1.
Crystalline Ni5Ru at its relaxed geometry. Source: the Alexandria database, functional PBE-GGA.

Values from the calculation:
The offset from the most stable computed form is 0.05 eV per formula unit. Its energy relative to the elements is 0.084 eV per atom. For the density of states at the Fermi level, the calculation gives 22.89 states/eV/cell.

Cell: 3.585 10.701 3.598 Å, 90.00 90.00 90.00°
Space group Cmmm (No. 65)
Symmetry-distinct sites (fractional):
Ni (0.000, 0.000, 0.000) [2 per cell]
Ni (0.000, 0.167, 0.500) [4 per cell]
Ni (0.000, 0.331, 0.000) [4 per cell]
Ru (0.000, 0.500, 0.500) [2 per cell]

***

2.
Crystalline Ti8Bi3 at its relaxed geometry. Source: the Alexandria database, functional PBE-GGA.

Values from the calculation:
Its energy relative to the elements is 0.364 eV per atom. For the density of states at the Fermi level, the calculation gives 41.18 states/eV/cell.

Cell: 8.6981 8.6981 12.2675 Å, 90.00 90.00 120.00°
Space group R-3 (No. 148, hexagonal axes)
Symmetry-distinct sites (fractional):
Ti (0.0000, 0.0000, 0.2322) [6 per cell]
Ti (0.9998, 0.1877, 0.4086) [18 per cell]
Bi (0.0000, 0.5000, 0.5000) [9 per cell]

***

3.
Crystalline FeTcNi2 at its relaxed geometry. Source: the Alexandria database, functional PBE-GGA.

Values from the calculation:
The offset from the most stable computed form is 0.43 eV per formula unit. Its energy relative to the elements is 0.103 eV per atom. For the density of states at the Fermi level, the calculation gives 13.21 states/eV/cell.

Cell: 2.5964 2.5964 24.9708 Å, 90.00 90.00 120.00°
Space group R3m (No. 160, hexagonal axes)
Symmetry-distinct sites (fractional):
Fe (0.0000, 0.0000, 0.0000) [3 per cell]
Tc (0.0000, 0.0000, 0.7548) [3 per cell]
Ni (0.0000, 0.0000, 0.2539) [3 per cell]
Ni (0.0000, 0.0000, 0.5058) [3 per cell]

***

4.
Crystalline FeSiHg2 at its relaxed geometry. Source: the Alexandria database, functional PBE-GGA.

Values from the calculation:
The uncorrected formation energy is 2.40 eV/f.u. For the density of states at the Fermi level, the calculation gives 4.08 states/eV/cell.

Cell: 3.595 3.724 5.492 Å, 90.00 90.00 90.00°
Space group Pmmm (No. 47)
Symmetry-distinct sites (fractional):
Fe (0.000, 0.000, 0.000) [1 per cell]
Si (0.000, 0.000, 0.500) [1 per cell]
Hg (0.500, 0.500, 0.246) [2 per cell]